1.
## HoNpC2 (GGA-PBE)

Data for crystalline HoNpC2 at its relaxed geometry.

a b c (Å): 3.547 3.547 6.058
angles (deg): 72.98 72.98 60.00
Last column: magnetic moment on the atom in μB.
Element x y z (fractional)
Np: 0.000 0.000 0.000  2.05
Ho: 0.500 0.500 0.500  0.04
C: 0.739 0.739 0.783  -0.11
C: 0.261 0.261 0.217  -0.11

Computed properties:
crystal system = trigonal
Fermi-level density of states = 5.46 states/eV/cell
E = -9.075 eV/atom
magnetization = 1.91 μB/f.u.

2.
## Ho2NpTc2C4 (GGA-PBE)

Data for crystalline Ho2NpTc2C4 at its relaxed geometry.

a b c (Å): 3.390 6.688 6.078
angles (deg): 107.77 90.00 104.68
Last column: magnetic moment on the atom in μB.
Element x y z (fractional)
Tc: 0.325 0.650 0.002  -0.02
Tc: 0.675 0.350 0.998  -0.02
C: 0.771 0.542 0.768  -0.01
Ho: 0.865 0.731 0.463  -0.01
Ho: 0.135 0.269 0.537  -0.01
C: 0.524 0.048 0.741  -0.05
C: 0.229 0.458 0.232  -0.01
C: 0.476 0.952 0.259  -0.05
Np: 0.000 0.000 0.000  2.23

Computed properties:
crystal system = monoclinic
Fermi-level density of states = 6.23 states/eV/cell
E = -8.835 eV/atom
magnetization = 2.03 μB/f.u.

3.
## Ho2NpUC4 (GGA-PBE)

Data for crystalline Ho2NpUC4 at its relaxed geometry.

a b c (Å): 3.569 6.024 6.170
angles (deg): 70.60 90.00 90.00
Last column: magnetic moment on the atom in μB.
Element x y z (fractional)
Np: 0.500 0.500 0.000  2.24
C: 0.500 0.287 0.740  -0.05
C: 0.000 0.717 0.756  -0.07
U: 0.000 0.500 0.500  0.04
Ho: 0.500 0.000 0.500  0.03
Ho: 0.000 0.000 0.000  0.06
C: 0.500 0.713 0.260  -0.05
C: 0.000 0.283 0.244  -0.07

Computed properties:
crystal system = monoclinic
Fermi-level density of states = 8.74 states/eV/cell
E = -8.969 eV/atom
magnetization = 2.21 μB/f.u.

| no. | formation energy from the elements (eV/atom) |
| --- | --- |
| 1 | -0.083 |
| 2 | 0.023 |
| 3 | -0.184 |